# Zn4Ga3Ag PBE optimized geometry
data_Zn4Ga3Ag
_chemical_formula_sum 'Zn16 Ga12 Ag4'
_symmetry_space_group_name_H-M 'F m m m'
_symmetry_Int_Tables_number 69
_symmetry_space_group_name_Hall '-F 2 2'
_cell_length_a 5.4375
_cell_length_b 9.5308
_cell_length_c 11.2795
_cell_angle_alpha 90.00
_cell_angle_beta 90.00
_cell_angle_gamma 90.00
loop_
_atom_site_label
_atom_site_fract_x
_atom_site_fract_y
_atom_site_fract_z
_atom_site_occupancy
Zn1 0.0000 0.0000 0.2475 1
Zn2 0.2500 0.2500 0.0000 1
Ga1 0.0000 0.0000 0.5000 1
Ga2 0.2500 0.2500 0.2500 1
Ag1 0.0000 0.0000 0.0000 1
# N(E_F): 9.0 states/eV per cell
# energy of formation from the pure elements: 99 meV per atom
# energy above the most stable polymorph in this dataset: 60 meV/atom


# Zn5Ga12Ag2 PBE optimized geometry
data_Zn5Ga12Ag2
_chemical_formula_sum 'Zn10 Ga24 Ag4'
_symmetry_space_group_name_H-M 'C 1 2/m 1'
_symmetry_Int_Tables_number 12
_cell_length_a 12.7888
_cell_length_b 7.0191
_cell_length_c 8.2744
_cell_angle_alpha 90.00
_cell_angle_beta 102.53
_cell_angle_gamma 90.00
loop_
_symmetry_equiv_pos_as_xyz
'x,y,z'
'-x,-y,-z'
'-x,y,-z'
'x,-y,z'
'x+1/2,y+1/2,z'
'-x+1/2,-y+1/2,-z'
'-x+1/2,y+1/2,-z'
'x+1/2,-y+1/2,z'
loop_
_atom_site_label
_atom_site_fract_x
_atom_site_fract_y
_atom_site_fract_z
_atom_site_occupancy
Zn1 0.0000 0.0000 0.0000 1
Zn2 0.1586 0.5000 0.3826 1
Zn3 0.2303 0.0000 0.0450 1
Ga1 0.0507 0.5000 0.7838 1
Ga2 0.0872 0.0000 0.7363 1
Ga3 0.1164 0.3049 0.0912 1
Ga4 0.2149 0.2943 0.6567 1
Ag1 0.0000 0.2658 0.5000 1
# N(E_F): 11.2 states/eV per cell
# energy of formation from the pure elements: 75 meV per atom


# Zn4Ga2Ag3 PBE optimized geometry
data_Zn4Ga2Ag3
_chemical_formula_sum 'Zn16 Ga8 Ag12'
_symmetry_space_group_name_H-M 'C 1 2/c 1'
_symmetry_Int_Tables_number 15
_cell_length_a 13.3341
_cell_length_b 7.8339
_cell_length_c 5.8151
_cell_angle_alpha 90.00
_cell_angle_beta 93.01
_cell_angle_gamma 90.00
loop_
_symmetry_equiv_pos_as_xyz
'x,y,z'
'-x,-y,-z'
'-x,y,-z+1/2'
'x,-y,z+1/2'
'x+1/2,y+1/2,z'
'-x+1/2,-y+1/2,-z'
'-x+1/2,y+1/2,-z+1/2'
'x+1/2,-y+1/2,z+1/2'
loop_
_atom_site_label
_atom_site_fract_x
_atom_site_fract_y
_atom_site_fract_z
_atom_site_occupancy
Zn1 0.0147 0.1845 0.0090 1
Zn2 0.1833 0.3686 0.9085 1
Ga1 0.1641 0.2947 0.3637 1
Ag1 0.0000 0.4939 0.7500 1
Ag2 0.1513 0.0485 0.7256 1
# N(E_F): 12.3 states/eV per cell
# energy of formation from the pure elements: 41 meV per atom
# energy above the most stable polymorph in this dataset: 32 meV/atom


# Zn4Ga12Ag3 PBE optimized geometry
data_Zn4Ga12Ag3
_chemical_formula_sum 'Zn8 Ga24 Ag6'
_symmetry_space_group_name_H-M 'I m -3'
_symmetry_Int_Tables_number 204
_symmetry_space_group_name_Hall '-I 2 2 3'
_cell_length_a 9.6730
_cell_length_b 9.6730
_cell_length_c 9.6730
_cell_angle_alpha 90.00
_cell_angle_beta 90.00
_cell_angle_gamma 90.00
loop_
_atom_site_label
_atom_site_fract_x
_atom_site_fract_y
_atom_site_fract_z
_atom_site_occupancy
Zn1 0.2500 0.2500 0.2500 1
Ga1 0.0000 0.3554 0.2568 1
Ag1 0.0000 0.0000 0.5000 1
# N(E_F): 13.7 states/eV per cell
# energy of formation from the pure elements: 140 meV per atom


Look up the energy of formation from the pure elements of the first one. 99 meV per atom